Computed, not measured: an optimized crystal structure of NbBiB2Ir at the GGA-PBE level of DFT.

The calculation puts the calculated total energy at -6.523 eV/atom.

The structure belongs to space group P4/mmm (No. 123); the cell edges are 4.104, 4.104 and 5.393 Å and the angles 90.00°, 90.00° and 90.00°. Symmetry generates all atoms from Nb at (0.000, 0.000, 0.000), Bi at (0.500, 0.500, 0.000), B at (0.000, 0.500, 0.500) and Ir at (0.000, 0.000, 0.500).